1.
Entry from the Alexandria database: a geometry-optimized YAgIr2 structure (PBE).

Cell lengths 4.1202, 4.1202, 4.1563 Å; angles 90.00, 90.00, 90.00 degrees
With the nearest neighbours (Å) after each atom.
Positions (direct):
Y1 0.0000 0.0000 0.0000  4 Ag 2.91, 8 Ir 2.93
Ag1 0.5000 0.5000 0.0000  4 Y 2.91, 8 Ir 2.93
Ir1 0.0000 0.5000 0.5000  4 Ir 2.91, 4 Y 2.93, 4 Ag 2.93
Ir2 0.5000 0.0000 0.5000  4 Ir 2.91, 4 Y 2.93, 4 Ag 2.93

Values from the calculation:
Energy above the most stable polymorph in this dataset = 0.0 meV per atom
Raw total energy = -27.923 eV for the cell shown
Density of states at the Fermi level = 1.162 states/eV/atom
Total magnetic moment = 0.000 μB/cell

---

2.
Entry from the Alexandria database: a geometry-optimized Sm2MgSe4 structure (PBE).

Cell lengths 7.6313, 7.6313, 7.6313 Å; angles 110.89, 110.89, 106.67 degrees
With the nearest neighbours (Å) after each atom.
Positions (direct):
Sm1 0.0020 0.6250 0.8770  6 Se 2.88-3.16
Sm2 0.3750 0.2520 0.3770  6 Se 2.88-3.16
Sm3 0.7480 0.1250 0.1230  6 Se 2.88-3.16
Sm4 0.8750 0.9980 0.6230  6 Se 2.88-3.16
Mg1 0.2500 0.7500 0.5000  4 Se 2.75
Mg2 0.5000 0.5000 0.0000  4 Se 2.75
Se1 0.0055 0.8768 0.2644  1 Mg 2.75, 2 Sm 2.88-2.96
Se2 0.1232 0.3876 0.1286  1 Mg 2.75, 2 Sm 2.88-2.96
Se3 0.1376 0.3732 0.6286  1 Mg 2.75, 2 Sm 2.88-2.96
Se4 0.2589 0.9945 0.8714  1 Mg 2.75, 2 Sm 2.88-2.96
Se5 0.4911 0.8624 0.2356  1 Mg 2.75, 2 Sm 2.88-2.96
Se6 0.6124 0.7411 0.7356  1 Mg 2.75, 2 Sm 2.88-2.96
Se7 0.6268 0.2555 0.7644  1 Mg 2.75, 2 Sm 2.88-2.96
Se8 0.7445 0.5089 0.3714  1 Mg 2.75, 2 Sm 2.88-2.96

Values from the calculation:
Energy above the most stable polymorph in this dataset = 41.0 meV per atom
Raw total energy = -72.836 eV for the cell shown
Density of states at the Fermi level = 0.000 states/eV/atom
Total magnetic moment = 0.000 μB/cell

---

3.
Entry from the Alexandria database: a geometry-optimized CuPdPt structure (PBE).

Cell lengths 4.3577, 4.3577, 2.6953 Å; angles 90.00, 90.00, 120.00 degrees
With the nearest neighbours (Å) after each atom.
Positions (direct):
Cu1 0.0000 0.0000 0.0000  3 Pt 2.52, 2 Cu 2.70
Pd1 0.3333 0.6667 0.5000  2 Pd 2.70, 6 Cu 2.85, 6 Pt 2.85
Pt1 0.6667 0.3333 0.0000  3 Cu 2.52, 2 Pt 2.70

Values from the calculation:
Energy above the most stable polymorph in this dataset = 105.9 meV per atom
Raw total energy = -15.326 eV for the cell shown
Density of states at the Fermi level = 1.886 states/eV/atom
Total magnetic moment = 0.000 μB/cell

---

4.
Entry from the Alexandria database: a geometry-optimized SmFe2H6 structure (PBE).

Cell lengths 4.3852, 4.3852, 4.3424 Å; angles 90.00, 90.00, 120.00 degrees
With the nearest neighbours (Å) after each atom.
Positions (direct):
Sm1 0.0000 0.0000 0.0000  12 H 2.44
Fe1 0.3333 0.6667 0.5000  6 H 1.68
Fe2 0.6667 0.3333 0.5000  6 H 1.68
H1 0.0000 0.5000 0.2443  2 Fe 1.68
H2 0.0000 0.5000 0.7557  2 Fe 1.68
H3 0.5000 0.0000 0.2443  2 Fe 1.68
H4 0.5000 0.0000 0.7557  2 Fe 1.68
H5 0.5000 0.5000 0.2443  2 Fe 1.68
H6 0.5000 0.5000 0.7557  2 Fe 1.68

Values from the calculation:
Raw total energy = -44.406 eV for the cell shown
Density of states at the Fermi level = 0.381 states/eV/atom
Total magnetic moment = 4.070 μB/cell

---

5.
Entry from the Alexandria database: a geometry-optimized Sr2ScGeRh structure (PBE).

Cell lengths 5.8135, 5.8135, 5.0888 Å; angles 90.00, 90.00, 90.00 degrees
With the nearest neighbours (Å) after each atom.
Positions (direct):
Sr1 0.0000 0.5000 0.0000  2 Ge 2.91
Sr2 0.5000 0.0000 0.0000  2 Ge 2.91
Sc1 0.0000 0.0000 0.5000  2 Ge 2.54
Ge1 0.0000 0.0000 0.0000  2 Sc 2.54
Rh1 0.5000 0.5000 0.5000  8 Sr 3.86, 4 Sc 4.11

Values from the calculation:
Raw total energy = -20.232 eV for the cell shown
Density of states at the Fermi level = 0.873 states/eV/atom
Total magnetic moment = 0.000 μB/cell

---

6.
Entry from the Alexandria database: a geometry-optimized AcNp2MnN4 structure (PBE).

Cell lengths 6.1250, 6.1250, 11.4393 Å; angles 90.00, 90.00, 147.03 degrees
With the nearest neighbours (Å) after each atom.
Positions (direct):
Ac1 0.0989 0.9011 0.7500  6 N 2.67-2.86
Ac2 0.9011 0.0989 0.2500  6 N 2.67-2.86
Np1 0.3685 0.6315 0.5540  6 N 2.25-2.42
Np2 0.3685 0.6315 0.9460  6 N 2.25-2.42
Np3 0.6315 0.3685 0.0540  6 N 2.25-2.42
Np4 0.6315 0.3685 0.4460  6 N 2.25-2.42
Mn1 0.1654 0.8346 0.2500  4 N 1.97-2.04
Mn2 0.8346 0.1654 0.7500  4 N 1.97-2.04
N1 0.0000 0.0000 0.0000  4 Np 2.41
N2 0.0000 0.0000 0.5000  4 Np 2.41
N3 0.2634 0.7366 0.1100  1 Mn 1.97
N4 0.2634 0.7366 0.3900  1 Mn 1.97
N5 0.4259 0.5741 0.7500  2 Mn 2.04
N6 0.5741 0.4259 0.2500  2 Mn 2.04
N7 0.7366 0.2634 0.6100  1 Mn 1.97
N8 0.7366 0.2634 0.8900  1 Mn 1.97

Values from the calculation:
Raw total energy = -161.145 eV for the cell shown
Density of states at the Fermi level = 1.091 states/eV/atom
Total magnetic moment = 5.134 μB/cell

---

7.
Entry from the Alexandria database: a geometry-optimized Na5In2Ag structure (PBE).

Cell lengths 6.7163, 13.4114, 4.7819 Å; angles 90.00, 90.00, 90.00 degrees
With the nearest neighbours (Å) after each atom.
Positions (direct):
Na1 0.0000 0.0000 0.0000  6 Na 3.24-3.52, 2 Ag 3.36, 4 In 3.51
Na2 0.0644 0.2606 0.0000  7 Na 3.23-3.52, 1 Ag 3.24, 2 In 3.43
Na3 0.1932 0.8682 0.5000  6 Na 3.23-3.42, 4 In 3.25-3.57, 2 Ag 3.62
Na4 0.3068 0.3682 0.5000  6 Na 3.23-3.42, 4 In 3.25-3.57, 2 Ag 3.62
Na5 0.4356 0.7606 0.0000  7 Na 3.23-3.52, 1 Ag 3.24, 2 In 3.43
Na6 0.5000 0.5000 0.0000  6 Na 3.24-3.52, 2 Ag 3.36, 4 In 3.51
Na7 0.5644 0.2394 0.0000  7 Na 3.23-3.52, 1 Ag 3.24, 2 In 3.43
Na8 0.6932 0.6318 0.5000  6 Na 3.23-3.42, 4 In 3.25-3.57, 2 Ag 3.62
Na9 0.8068 0.1318 0.5000  6 Na 3.23-3.42, 4 In 3.25-3.57, 2 Ag 3.62
Na10 0.9356 0.7394 0.0000  7 Na 3.23-3.52, 1 Ag 3.24, 2 In 3.43
In1 0.1771 0.6020 0.5000  2 Ag 3.00, 2 Na 3.25-3.27
In2 0.3229 0.1020 0.5000  2 Ag 3.00, 2 Na 3.25-3.27
In3 0.6771 0.8980 0.5000  2 Ag 3.00, 2 Na 3.25-3.27
In4 0.8229 0.3980 0.5000  2 Ag 3.00, 2 Na 3.25-3.27
Ag1 0.0000 0.5000 0.0000  4 In 3.00, 4 Na 3.24-3.36
Ag2 0.5000 0.0000 0.0000  4 In 3.00, 4 Na 3.24-3.36

Values from the calculation:
Energy above the most stable polymorph in this dataset = 0.0 meV per atom
Raw total energy = -30.723 eV for the cell shown
Density of states at the Fermi level = 0.260 states/eV/atom
Total magnetic moment = 0.000 μB/cell

---

8.
Entry from the Alexandria database: a geometry-optimized ScMo structure (PBE).

Cell lengths 2.9590, 2.9590, 4.8855 Å; angles 90.00, 90.00, 120.00 degrees
With the nearest neighbours (Å) after each atom.
Positions (direct):
Sc1 0.0000 0.0000 0.0000  6 Sc 2.96, 6 Mo 2.98
Mo1 0.6667 0.3333 0.5000  6 Mo 2.96, 6 Sc 2.98

Values from the calculation:
Energy above the most stable polymorph in this dataset = 360.3 meV per atom
Raw total energy = -16.490 eV for the cell shown
Density of states at the Fermi level = 1.137 states/eV/atom
Total magnetic moment = 0.000 μB/cell

---

9.
Entry from the Alexandria database: a geometry-optimized NpSO2 structure (PBE).

Cell lengths 5.6712, 5.6712, 3.3242 Å; angles 90.00, 90.00, 125.04 degrees
With the nearest neighbours (Å) after each atom.
Positions (direct):
Np1 0.0000 0.0000 0.0000  4 O 2.07
S1 0.5000 0.5000 0.0000  2 Np 2.62
O1 0.1224 0.8776 0.5000  2 Np 2.07
O2 0.8776 0.1224 0.5000  2 Np 2.07

Values from the calculation:
Raw total energy = -34.679 eV for the cell shown
Density of states at the Fermi level = 0.898 states/eV/atom
Total magnetic moment = 1.206 μB/cell

---

10.
Entry from the Alexandria database: a geometry-optimized ScNbNF2 structure (PBE).

Cell lengths 3.9058, 3.9058, 4.5667 Å; angles 90.00, 90.00, 90.00 degrees
With the nearest neighbours (Å) after each atom.
Positions (direct):
Sc1 0.0000 0.0000 0.0000  4 F 1.95
Nb1 0.5000 0.5000 0.5000  4 N 2.76, 8 F 3.00
N1 0.0000 0.0000 0.5000  2 Sc 2.28
F1 0.0000 0.5000 0.0000  2 Sc 1.95
F2 0.5000 0.0000 0.0000  2 Sc 1.95

Values from the calculation:
Energy above the most stable polymorph in this dataset = 0.0 meV per atom
Raw total energy = -35.224 eV for the cell shown
Density of states at the Fermi level = 0.807 states/eV/atom
Total magnetic moment = 2.992 μB/cell